# AcMg2Si2

Crystalline AcMg2Si2 at its relaxed geometry (PBE, Alexandria via LeMat-Bulk).

Cell: 4.438 4.438 6.576 Å, 109.72 109.72 90.00°
Fractional positions:
Ac 0.000 0.000 0.000
Mg 0.750 0.250 0.500
Mg 0.250 0.750 0.500
Si 0.393 0.393 0.786
Si 0.607 0.607 0.214

Output
SG: I4/mmm, No. 139
Uncorrected energy (eV/atom): -4.0601
ρ (g/cm³): 4.84
Spin magnetization (Bohr magnetons per cell): 0.0

# AcMg5Si3

Crystalline AcMg5Si3 at its relaxed geometry (PBE, Alexandria via LeMat-Bulk).

Cell: 4.439 7.645 12.624 Å, 90.00 90.00 106.88°
Fractional positions:
Ac 0.865 0.731 0.750
Ac 0.135 0.269 0.250
Mg 0.804 0.608 0.437
Mg 0.196 0.392 0.937
Mg 0.000 0.000 0.500
Mg 0.000 0.000 0.000
Mg 0.446 0.891 0.139
Mg 0.554 0.109 0.861
Mg 0.554 0.109 0.639
Mg 0.804 0.608 0.063
Mg 0.196 0.392 0.563
Mg 0.446 0.891 0.361
Si 0.378 0.756 0.942
Si 0.904 0.807 0.250
Si 0.378 0.756 0.558
Si 0.622 0.244 0.442
Si 0.096 0.193 0.750
Si 0.622 0.244 0.058

Output
SG: Cmcm, No. 63
Uncorrected energy (eV/atom): -3.3636
ρ (g/cm³): 3.51
Spin magnetization (Bohr magnetons per cell): 0.0

# AcMg2Si4

Crystalline AcMg2Si4 at its relaxed geometry (PBE, Alexandria via LeMat-Bulk).

Cell: 4.001 4.397 8.891 Å, 104.32 103.00 90.00°
Fractional positions:
Ac 0.500 0.000 0.000
Mg 0.816 0.816 0.632
Mg 0.184 0.184 0.368
Si 0.656 0.656 0.313
Si 0.344 0.344 0.687
Si 0.076 0.576 0.152
Si 0.924 0.424 0.848

Output
SG: Immm, No. 71
Uncorrected energy (eV/atom): -4.3619
ρ (g/cm³): 4.37
Spin magnetization (Bohr magnetons per cell): 0.0

# Ac4MgSi2

Crystalline Ac4MgSi2 at its relaxed geometry (PBE, Alexandria via LeMat-Bulk).

Cell: 5.441 5.441 9.880 Å, 74.01 74.01 60.00°
Fractional positions:
Ac 0.382 0.382 0.854
Ac 0.210 0.210 0.371
Ac 0.790 0.790 0.629
Ac 0.618 0.618 0.146
Mg 0.000 0.000 0.000
Si 0.096 0.096 0.712
Si 0.904 0.904 0.288

Output
SG: R-3m, No. 166
Uncorrected energy (eV/atom): -4.3140
ρ (g/cm³): 6.83
Spin magnetization (Bohr magnetons per cell): 0.0

# Ac2Mg2Si

Crystalline Ac2Mg2Si at its relaxed geometry (PBE, Alexandria via LeMat-Bulk).

Cell: 4.024 4.024 10.262 Å, 101.31 101.31 90.00°
Fractional positions:
Ac 0.415 0.415 0.829
Ac 0.585 0.585 0.171
Mg 0.750 0.250 0.500
Mg 0.250 0.750 0.500
Si 0.000 0.000 0.000

Output
SG: I4/mmm, No. 139
Uncorrected energy (eV/atom): -3.4069
ρ (g/cm³): 5.52
Spin magnetization (Bohr magnetons per cell): 0.0

# AcMg3Si2

Crystalline AcMg3Si2 at its relaxed geometry (PBE, Alexandria via LeMat-Bulk).

Cell: 4.422 8.663 8.314 Å, 115.87 90.00 104.79°
Fractional positions:
Ac 0.852 0.704 0.936
Ac 0.148 0.296 0.064
Mg 0.315 0.631 0.552
Mg 0.954 0.909 0.629
Mg 0.596 0.192 0.688
Mg 0.404 0.808 0.312
Mg 0.046 0.091 0.371
Mg 0.685 0.369 0.448
Si 0.484 0.968 0.842
Si 0.516 0.032 0.158
Si 0.802 0.605 0.301
Si 0.198 0.395 0.699

Output
SG: C2/m, No. 12
Uncorrected energy (eV/atom): -3.5974
ρ (g/cm³): 4.30
Spin magnetization (Bohr magnetons per cell): 0.0

Among the records above, which one has the lowest ρ?
AcMg5Si3